Computed, not measured: a relaxed structure of CoAsOs at the GGA-PBE level of DFT.

- total magnetic moment (μB per formula unit) = 1.33
- formation enthalpy at 0 K (eV/f.u.) = 0.99
- space-group type = P3m1, No. 156

Cell lengths 4.079, 4.079, 2.868 Å; angles 90.00, 90.00, 120.00 degrees
Each line ends with the local moment (μB).
Fractional coordinates of all 3 atoms:
1 Co 0.667 0.333 0.259  1.12
2 Os 0.333 0.667 0.760  0.24
3 As 0.000 0.000 0.981  -0.02

=====

Computed, not measured: a relaxed structure of In2OsC at the GGA-PBE level of DFT.

- total magnetic moment (μB per formula unit) = 0.00
- formation enthalpy at 0 K (eV/f.u.) = 5.90
- space-group type = I-42d, No. 122

Cell lengths 6.793, 6.793, 5.625 Å; angles 52.86, 52.86, 90.00 degrees
Fractional coordinates of all 8 atoms:
1 In 0.375 0.436 0.750
2 In 0.186 0.625 0.250
3 In 0.875 0.814 0.750
4 In 0.564 0.125 0.250
5 C 0.250 0.750 0.500
6 C 0.500 0.500 0.000
7 Os 0.750 0.250 0.500
8 Os 0.000 0.000 0.000

=====

Which of these has the highest formation enthalpy at 0 K? In2OsC